CsBiPbBr6: relaxed, PBE.

The space group is P312 (No. 149) and the conventional cell measures 7.7529, 7.7529 and 8.0016 Å, with angles of 90.00, 90.00 and 120.00 degrees. The asymmetric unit holds Cs at (0.0000, 0.0000, 0.0000), Bi at (0.6667, 0.3333, 0.5000), Pb at (0.3333, 0.6667, 0.5000) and Br at (0.3837, 0.0160, 0.7150).

The calculation puts the energy relative to the elements, uncorrected at -9.60 eV/f.u. For the uncorrected energy, the calculation gives -0.2293 Ry per atom.

YMg2SnPd4: relaxed, PBE.

The space group is R-3m (No. 166, hexagonal axes) and the conventional cell measures 4.7066, 4.7066 and 22.7098 Å, with angles of 90.00, 90.00 and 120.00 degrees. The asymmetric unit holds Y at (0.0000, 0.0000, 0.0000), Mg at (0.0000, 0.0000, 0.2493), Sn at (0.0000, 0.0000, 0.5000), Pd at (0.0000, 0.0000, 0.1284) and Pd at (0.0000, 0.0000, 0.3797).

As for the formation energy: -734 meV/atom. For the uncorrected energy, the calculation gives -0.3703 Ry per atom.

DyTmIn: relaxed, PBE.

The space group is P4/nmm (No. 129, origin choice 2) and the conventional cell measures 4.5775, 4.5775 and 8.2854 Å, with angles of 90.00, 90.00 and 90.00 degrees. The asymmetric unit holds Dy at (0.2500, 0.7500, 0.0000), Tm at (0.2500, 0.2500, 0.3524) and In at (0.2500, 0.2500, 0.7259).

As for the formation energy: -238 meV/atom. For the uncorrected energy, the calculation gives -0.3069 Ry per atom.